[1]
Computed, not measured: an optimized crystal structure of PrEr3Rh4 at the PBE level of DFT.

abc: 4.8530 4.8530 8.4687
angles: 73.35 73.35 60.00
Last column: nearest neighbours and their distance in Å.
Positions (direct):
Rh 0.3784 0.3784 0.8647  5 Er 2.91-3.13, 3 Pr 3.00
Er 0.5000 0.5000 0.5000  8 Rh 2.91-2.96
Er 0.2478 0.2478 0.2567  8 Rh 2.89-3.13
Rh 0.8727 0.8727 0.3820  7 Er 2.89-2.98, 1 Pr 3.05
Rh 0.6216 0.6216 0.1353  5 Er 2.91-3.13, 3 Pr 3.00
Er 0.7522 0.7522 0.7433  8 Rh 2.89-3.13
Rh 0.1273 0.1273 0.6180  7 Er 2.89-2.98, 1 Pr 3.05
Pr 0.0000 0.0000 0.0000  8 Rh 3.00-3.05

Output
Density of states at the Fermi level, states/eV/cell: 3.86
Space-group type: No. 166
DFT formation energy, meV per atom: -837

***

[2]
Computed, not measured: an optimized crystal structure of Pr2ErRh at the PBE level of DFT.

abc: 3.7257 3.7257 10.8936
angles: 80.15 80.15 60.00
Last column: nearest neighbours and their distance in Å.
Positions (direct):
Pr 0.1088 0.1088 0.6735  3 Rh 2.84
Rh 0.5000 0.5000 0.5000  6 Pr 2.84
Er 0.0000 0.0000 0.0000  2 Pr 3.49, 6 Er 3.73
Pr 0.8912 0.8912 0.3265  3 Rh 2.84

Output
Density of states at the Fermi level, states/eV/cell: 5.48
Space-group type: No. 166
DFT formation energy, meV per atom: -37

***

[3]
Computed, not measured: an optimized crystal structure of PrEr5Rh4 at the PBE level of DFT.

abc: 3.4131 3.4131 19.1725
angles: 90.00 90.00 90.00
Last column: nearest neighbours and their distance in Å.
Positions (direct):
Pr 0.0000 0.0000 0.0000  4 Pr 3.41, 8 Er 3.74
Rh 0.0000 0.0000 0.7677  8 Er 2.89-2.97
Er 0.5000 0.5000 0.1490  4 Rh 2.89
Er 0.5000 0.5000 0.6771  8 Rh 2.95-2.97
Rh 0.0000 0.0000 0.4113  8 Er 2.95
Er 0.5000 0.5000 0.3229  8 Rh 2.95-2.97
Er 0.5000 0.5000 0.5000  8 Rh 2.95
Rh 0.0000 0.0000 0.5887  8 Er 2.95
Er 0.5000 0.5000 0.8510  4 Rh 2.89
Rh 0.0000 0.0000 0.2323  8 Er 2.89-2.97

Output
Density of states at the Fermi level, states/eV/cell: 6.36
Space-group type: No. 123
DFT formation energy, meV per atom: -754

***

[4]
Computed, not measured: an optimized crystal structure of PrEr4Rh4 at the PBE level of DFT.

abc: 5.5699 8.8926 8.8926
angles: 90.00 90.00 90.00
Last column: nearest neighbours and their distance in Å.
Positions (direct):
Er 0.4155 0.3279 0.9052  5 Rh 2.74-2.88
Rh 0.4141 0.3692 0.2109  5 Er 2.74-2.88, 1 Pr 2.86, 1 Rh 2.88
Rh 0.9141 0.7109 0.1308  5 Er 2.74-2.88, 1 Pr 2.86, 1 Rh 2.88
Er 0.0845 0.8279 0.4052  5 Rh 2.74-2.88
Er 0.4155 0.6721 0.0948  5 Rh 2.74-2.88
Er 0.9155 0.4052 0.1721  5 Rh 2.74-2.88
Rh 0.5859 0.2109 0.6308  5 Er 2.74-2.88, 1 Pr 2.86, 1 Rh 2.88
Er 0.9155 0.5948 0.8279  5 Rh 2.74-2.88
Rh 0.0859 0.1308 0.2891  5 Er 2.74-2.88, 1 Pr 2.86, 1 Rh 2.88
Pr 0.0000 0.0000 0.0000  4 Rh 2.86
Er 0.0845 0.1721 0.5948  5 Rh 2.74-2.88
Rh 0.4141 0.6308 0.7891  5 Er 2.74-2.88, 1 Pr 2.86, 1 Rh 2.88
Er 0.5845 0.9052 0.6721  5 Rh 2.74-2.88
Rh 0.0859 0.8692 0.7109  5 Er 2.74-2.88, 1 Pr 2.86, 1 Rh 2.88
Rh 0.9141 0.2891 0.8692  5 Er 2.74-2.88, 1 Pr 2.86, 1 Rh 2.88
Pr 0.5000 0.5000 0.5000  4 Rh 2.86
Rh 0.5859 0.7891 0.3692  5 Er 2.74-2.88, 1 Pr 2.86, 1 Rh 2.88
Er 0.5845 0.0948 0.3279  5 Rh 2.74-2.88

Output
Density of states at the Fermi level, states/eV/cell: 12.15
Space-group type: No. 86
DFT formation energy, meV per atom: -664